Below is Np2Ge4IrRh3 after structural relaxation, with properties calculated at the GGA-PBE level.

Calculated values
**Theoretical density**: 11.68 Mg/m³
**Calculated total energy**: -80.199 eV/f.u.
**SG**: P-4m2
**DOS(E_F)**: 23.03 states/eV/f.u.

abc: 4.210 4.210 10.149
angles: 90.00 90.00 90.00
Atoms (fractional coordinates):
1 Np 0.000 0.500 0.245
2 Np 0.500 0.000 0.755
3 Ge 0.000 0.000 0.000
4 Ge 0.000 0.500 0.633
5 Ge 0.500 0.000 0.367
6 Ge 0.500 0.500 0.000
7 Ir 0.000 0.000 0.500
8 Rh 0.000 0.500 0.871
9 Rh 0.500 0.000 0.129
10 Rh 0.500 0.500 0.500